Record 1
# GGA-PBE HfMoP2, relaxed
# Calculated total energy, eV per atom: -8.53
# ΔH_f (0 K), meV/atom: -625
# Energy above the lowest structure with this stoichiometry, meV per atom: 100
data_HfMoP2
_space_group_name_H-M_alt 'F m -3 m'
_space_group_IT_number 225
_space_group_name_Hall '-F 4 2 3'
_cell_length_a 6.237
_cell_length_b 6.237
_cell_length_c 6.237
_cell_angle_alpha 90.00
_cell_angle_beta 90.00
_cell_angle_gamma 90.00
loop_
_atom_site_label
_atom_site_fract_x
_atom_site_fract_y
_atom_site_fract_z
Hf1 0.000 0.000 0.000
Mo1 0.000 0.000 0.500
P1 0.250 0.250 0.250

***

Record 2
# GGA-PBE Li2Cu2As, relaxed
# Calculated total energy, eV per atom: -3.49
# ΔH_f (0 K), meV/atom: -159
data_Li2Cu2As
_space_group_name_H-M_alt 'P 4/m b m'
_space_group_IT_number 127
_space_group_name_Hall '-P 4 2ab'
_cell_length_a 6.151
_cell_length_b 6.151
_cell_length_c 4.107
_cell_angle_alpha 90.00
_cell_angle_beta 90.00
_cell_angle_gamma 90.00
loop_
_atom_site_label
_atom_site_fract_x
_atom_site_fract_y
_atom_site_fract_z
Li1 0.173 0.327 0.000
Cu1 0.140 0.640 0.500
As1 0.000 0.000 0.500

***

Record 3
# GGA-PBE HfHAu2Cl, relaxed
# Calculated total energy, eV per atom: -3.95
# Energy above the lowest structure with this stoichiometry, meV per atom: 0
data_HfHAu2Cl
_space_group_name_H-M_alt 'P 4/m m m'
_space_group_IT_number 123
_space_group_name_Hall '-P 4 2'
_cell_length_a 5.339
_cell_length_b 5.339
_cell_length_c 3.834
_cell_angle_alpha 90.00
_cell_angle_beta 90.00
_cell_angle_gamma 90.00
loop_
_atom_site_label
_atom_site_fract_x
_atom_site_fract_y
_atom_site_fract_z
Hf1 0.000 0.000 0.000
H1 0.000 0.000 0.500
Au1 0.000 0.500 0.000
Cl1 0.500 0.500 0.500

***

Record 4
# GGA-PBE BaCaAl2Os, relaxed
# Calculated total energy, eV per atom: -4.65
# ΔH_f (0 K), meV/atom: -121
data_BaCaAl2Os
_space_group_name_H-M_alt 'P 4/m m m'
_space_group_IT_number 123
_space_group_name_Hall '-P 4 2'
_cell_length_a 4.948
_cell_length_b 4.948
_cell_length_c 5.457
_cell_angle_alpha 90.00
_cell_angle_beta 90.00
_cell_angle_gamma 90.00
loop_
_atom_site_label
_atom_site_fract_x
_atom_site_fract_y
_atom_site_fract_z
Ba1 0.000 0.000 0.000
Ca1 0.500 0.500 0.000
Al1 0.000 0.500 0.500
Os1 0.500 0.500 0.500

***

Record 5
# GGA-PBE MgCd4Cu, relaxed
# Calculated total energy, eV per atom: -1.37
# ΔH_f (0 K), meV/atom: 191
# Energy above the lowest structure with this stoichiometry, meV per atom: 174
data_MgCd4Cu
_space_group_name_H-M_alt 'F -4 3 m'
_space_group_IT_number 216
_space_group_name_Hall 'F -4 2 3'
_cell_length_a 8.024
_cell_length_b 8.024
_cell_length_c 8.024
_cell_angle_alpha 90.00
_cell_angle_beta 90.00
_cell_angle_gamma 90.00
loop_
_atom_site_label
_atom_site_fract_x
_atom_site_fract_y
_atom_site_fract_z
Mg1 0.000 0.000 0.000
Cd1 0.125 0.125 0.625
Cu1 0.250 0.250 0.250

***

Record 6
# GGA-PBE Sr3AgPd8, relaxed
# Calculated total energy, eV per atom: -4.61
# ΔH_f (0 K), meV/atom: -494
data_Sr3AgPd8
_space_group_name_H-M_alt 'R 3 m'
_space_group_IT_number 160
_space_group_name_Hall 'R 3 -2"'
_cell_length_a 5.5343
_cell_length_b 5.5343
_cell_length_c 27.0654
_cell_angle_alpha 90.00
_cell_angle_beta 90.00
_cell_angle_gamma 120.00
loop_
_atom_site_label
_atom_site_fract_x
_atom_site_fract_y
_atom_site_fract_z
Sr1 0.0000 0.0000 0.0000
Sr2 0.0000 0.0000 0.1290
Sr3 0.0000 0.0000 0.6156
Ag1 0.0000 0.0000 0.4931
Pd1 0.0000 0.0000 0.3115
Pd2 0.0000 0.0000 0.8119
Pd3 0.0001 0.5000 0.5606
Pd4 0.0007 0.5004 0.0627

***

Record 7
# GGA-PBE CsRb2NiAs2, relaxed
# Calculated total energy, eV per atom: -3.20
# ΔH_f (0 K), meV/atom: -223
data_CsRb2NiAs2
_space_group_name_H-M_alt 'I b a m'
_space_group_IT_number 72
_space_group_name_Hall '-I 2 2c'
_cell_length_a 8.470
_cell_length_b 14.179
_cell_length_c 7.921
_cell_angle_alpha 90.00
_cell_angle_beta 90.00
_cell_angle_gamma 90.00
loop_
_atom_site_label
_atom_site_fract_x
_atom_site_fract_y
_atom_site_fract_z
Cs1 0.000 0.000 0.250
Rb1 0.157 0.297 0.000
Ni1 0.000 0.500 0.250
As1 0.143 0.463 0.500

***

Record 8
# GGA-PBE Sm7DySc3, relaxed
# Calculated total energy, eV per atom: -4.90
# ΔH_f (0 K), meV/atom: 245
data_Sm7DySc3
_space_group_name_H-M_alt 'I m m m'
_space_group_IT_number 71
_space_group_name_Hall '-I 2 2'
_cell_length_a 5.788
_cell_length_b 10.735
_cell_length_c 11.259
_cell_angle_alpha 90.00
_cell_angle_beta 90.00
_cell_angle_gamma 90.00
loop_
_atom_site_label
_atom_site_fract_x
_atom_site_fract_y
_atom_site_fract_z
Sm1 0.000 0.000 0.000
Sm2 0.000 0.197 0.500
Sm3 0.000 0.312 0.209
Dy1 0.000 0.500 0.500
Sc1 0.000 0.000 0.289
Sc2 0.000 0.500 0.000

***

no.,M_tot (μB per atom)
1,0.0000
2,0.0000
3,0.0000
4,0.0000
5,0.0000
6,0.0000
7,0.0585
8,0.0062